(1)
Density functional theory data (GGA-PBE) for a relaxed SrAlCr2 crystal.

```
SrAlCr2
1.0
-3.996 -2.046 0.609
0.792 -2.153 -2.039
2.650 -4.040 3.817
Cr Al Sr
2 1 1
Direct
0.000 0.968 0.875
0.000 0.532 0.625
0.500 0.750 0.750
0.500 0.250 0.250
```

Summary:
calculated formation energy	223	kJ/mol of formula units
symmetry	P2/m
total moment	0.000	μB per formula unit
uncorrected energy	-5.591	eV/atom

=====

(2)
Density functional theory data (GGA-PBE) for a relaxed Ca2NbGa2 crystal.

```
Ca2NbGa2
1.0
-7.673 -3.753 1.149
2.046 -1.672 8.203
-1.204 2.722 0.855
Ga Ca Nb
4 4 2
Direct
0.670 0.830 0.500
0.830 0.330 0.500
0.330 0.170 0.500
0.170 0.670 0.500
0.629 0.129 0.000
0.371 0.871 0.000
0.871 0.629 0.000
0.129 0.371 0.000
0.500 0.500 0.000
0.000 0.000 0.000
```

Summary:
distance to the lowest polymorph of the same formula	0.00	eV/f.u.
calculated formation energy	138	kJ/mol of formula units
symmetry	P4/mbm
total moment	1.019	μB per formula unit
uncorrected energy	-3.739	eV/atom

=====

(3)
Density functional theory data (GGA-PBE) for a relaxed Dy2ScZn2 crystal.

```
Dy2ScZn2
1.0
-3.112 0.021 1.363
-0.153 -3.459 -0.296
3.884 -2.681 8.907
Zn Sc Dy
2 1 2
Direct
0.500 0.422 0.155
0.500 0.578 0.845
0.000 0.000 0.000
0.000 0.173 0.655
0.000 0.827 0.345
```

Summary:
distance to the lowest polymorph of the same formula	0.00	eV/f.u.
calculated formation energy	-93	kJ/mol of formula units
symmetry	Cmmm
total moment	0.752	μB per formula unit
uncorrected energy	-3.809	eV/atom